# Nd7Tl2Bi2

A relaxed Nd7Tl2Bi2 crystal (PBE, the Alexandria database).

symmetry = Cmmm, No. 65
calculated volume = 399.8 Å³ per cell
total magnetic moment = 0.00 μB per atom
E_form = -1.89 eV/f.u.
crystal system = orthorhombic

Cell and atoms, written as POSCAR:
```
Nd7Tl2Bi2
1.0
7.488 -0.003 -0.454
0.003 7.225 0.003
-0.920 -0.003 7.445
Nd Bi Tl
7 2 2
direct
0.500 0.741 0.500 Nd
0.500 0.259 0.500 Nd
0.500 0.725 0.000 Nd
0.000 0.275 0.500 Nd
0.500 0.275 0.000 Nd
0.000 0.725 0.500 Nd
0.000 0.000 0.000 Nd
0.810 0.500 0.810 Bi
0.190 0.500 0.190 Bi
0.274 0.000 0.726 Tl
0.726 0.000 0.274 Tl
```

# Nd8TlBi2

A relaxed Nd8TlBi2 crystal (PBE, the Alexandria database).

symmetry = C2/m, No. 12
calculated volume = 373.4 Å³ per cell
total magnetic moment = 0.00 μB per atom
E_form = -3.52 eV/f.u.
crystal system = monoclinic

Cell and atoms, written as POSCAR:
```
Nd8TlBi2
1.0
-2.344 4.174 1.843
-3.525 -4.189 5.005
9.202 0.039 4.478
Bi Nd Tl
2 8 1
direct
0.178 0.776 0.356 Bi
0.822 0.224 0.644 Bi
0.662 0.035 0.324 Nd
0.594 0.493 0.188 Nd
0.338 0.965 0.676 Nd
0.011 0.755 0.021 Nd
0.216 0.354 0.431 Nd
0.406 0.507 0.812 Nd
0.989 0.245 0.979 Nd
0.784 0.646 0.569 Nd
0.500 0.000 0.000 Tl
```

# NdTlBi3

A relaxed NdTlBi3 crystal (PBE, the Alexandria database).

symmetry = P2_1/m, No. 11
calculated volume = 348.8 Å³ per cell
total magnetic moment = 0.00 μB per atom
E_form = -1.77 eV/f.u.
crystal system = monoclinic

Cell and atoms, written as POSCAR:
```
NdTlBi3
1.0
4.327 0.000 0.000
0.000 9.649 1.668
0.000 1.903 8.685
Bi Nd Tl
6 2 2
direct
0.750 0.071 0.367 Bi
0.250 0.929 0.633 Bi
0.250 0.127 0.992 Bi
0.750 0.558 0.587 Bi
0.250 0.442 0.413 Bi
0.750 0.873 0.008 Bi
0.750 0.185 0.677 Nd
0.250 0.815 0.323 Nd
0.250 0.621 0.003 Tl
0.750 0.379 0.997 Tl
```

# Nd6Tl5Bi

A relaxed Nd6Tl5Bi crystal (PBE, the Alexandria database).

symmetry = C2/m, No. 12
calculated volume = 359.2 Å³ per cell
total magnetic moment = 0.00 μB per atom
E_form = -5.32 eV/f.u.
crystal system = monoclinic

Cell and atoms, written as POSCAR:
```
Nd6Tl5Bi
1.0
10.188 -0.455 0.000
2.865 4.363 0.000
1.432 2.182 7.850
Nd Bi Tl
6 1 5
direct
0.747 0.087 0.332 Nd
0.253 0.913 0.668 Nd
0.253 0.580 0.332 Nd
0.251 0.249 0.000 Nd
0.749 0.751 0.000 Nd
0.747 0.420 0.668 Nd
0.000 0.000 0.000 Bi
0.500 0.166 0.667 Tl
0.500 0.834 0.333 Tl
0.000 0.674 0.653 Tl
0.000 0.326 0.347 Tl
0.500 0.500 0.000 Tl
```

# NdTlBi2

A relaxed NdTlBi2 crystal (PBE, the Alexandria database).

symmetry = R3m, No. 160
calculated volume = 145.3 Å³ per cell
polymorph energy (0 for the lowest one) = 183 meV per atom
total magnetic moment = 0.00 μB per atom
E_form = -1.06 eV/f.u.
crystal system = trigonal

Cell and atoms, written as POSCAR:
```
NdTlBi2
1.0
-0.271 -5.151 -0.880
4.335 -2.686 -1.174
2.307 -3.680 5.273
Tl Bi Nd
1 2 1
direct
0.490 0.490 0.530 Tl
0.257 0.257 0.230 Bi
0.083 0.083 0.752 Bi
0.671 0.671 0.988 Nd
```

# Nd6TlBi

A relaxed Nd6TlBi crystal (PBE, the Alexandria database).

symmetry = P4/mmm, No. 123
calculated volume = 249.7 Å³ per cell
total magnetic moment = 0.00 μB per atom
E_form = -2.61 eV/f.u.
crystal system = tetragonal

Cell and atoms, written as POSCAR:
```
Nd6TlBi
1.0
-1.140 -3.984 2.822
4.059 -2.384 -1.725
5.375 3.749 7.464
Nd Tl Bi
6 1 1
direct
0.000 0.500 0.750 Nd
0.500 0.000 0.250 Nd
0.500 0.000 0.750 Nd
0.500 0.500 0.500 Nd
0.000 0.500 0.250 Nd
0.500 0.500 0.000 Nd
0.000 0.000 0.500 Tl
0.000 0.000 0.000 Bi
```

# Nd4TlBi

A relaxed Nd4TlBi crystal (PBE, the Alexandria database).

symmetry = C2/c, No. 15
calculated volume = 417.2 Å³ per cell
total magnetic moment = 0.00 μB per atom
E_form = -1.40 eV/f.u.
crystal system = monoclinic

Cell and atoms, written as POSCAR:
```
Nd4TlBi
1.0
-6.139 -1.461 0.914
0.138 -4.443 -6.171
5.360 -5.010 5.747
Nd Tl Bi
8 2 2
direct
0.536 0.057 0.851 Nd
0.315 0.557 0.851 Nd
0.685 0.443 0.149 Nd
0.276 0.609 0.301 Nd
0.464 0.943 0.149 Nd
0.724 0.391 0.699 Nd
0.025 0.109 0.301 Nd
0.975 0.891 0.699 Nd
0.000 0.500 0.500 Tl
0.500 0.000 0.500 Tl
0.879 0.750 0.000 Bi
0.121 0.250 0.000 Bi
```

# Nd12Tl5Bi2

A relaxed Nd12Tl5Bi2 crystal (PBE, the Alexandria database).

symmetry = C2/m, No. 12
calculated volume = 651.0 Å³ per cell
total magnetic moment = 0.00 μB per atom
E_form = -4.45 eV/f.u.
crystal system = monoclinic

Cell and atoms, written as POSCAR:
```
Nd12Tl5Bi2
1.0
8.478 0.000 0.000
-4.239 8.899 0.239
0.000 -2.835 8.552
Nd Tl Bi
12 5 2
direct
0.587 0.760 0.457 Nd
0.174 0.760 0.457 Nd
0.111 0.222 0.839 Nd
0.546 0.633 0.814 Nd
0.826 0.240 0.543 Nd
0.479 0.958 0.212 Nd
0.413 0.240 0.543 Nd
0.454 0.367 0.186 Nd
0.913 0.367 0.186 Nd
0.889 0.778 0.161 Nd
0.521 0.042 0.788 Nd
0.087 0.633 0.814 Nd
0.222 0.443 0.499 Tl
0.294 0.588 0.100 Tl
0.000 0.000 0.500 Tl
0.706 0.412 0.900 Tl
0.778 0.557 0.501 Tl
0.213 0.000 0.000 Bi
0.787 0.000 0.000 Bi
```

# Nd6Tl3Bi

A relaxed Nd6Tl3Bi crystal (PBE, the Alexandria database).

symmetry = Cmc2_1, No. 36
calculated volume = 663.6 Å³ per cell
total magnetic moment = 0.00 μB per atom
E_form = -2.79 eV/f.u.
crystal system = orthorhombic

Cell and atoms, written as POSCAR:
```
Nd6Tl3Bi
1.0
-6.317 0.226 4.531
5.358 -2.049 7.573
-0.408 9.434 -1.040
Bi Tl Nd
2 6 12
direct
0.557 0.831 0.169 Bi
0.057 0.169 0.831 Bi
0.836 0.530 0.470 Tl
0.953 0.720 0.982 Tl
0.453 0.982 0.720 Tl
0.953 0.018 0.280 Tl
0.453 0.280 0.018 Tl
0.336 0.470 0.530 Tl
0.217 0.700 0.300 Nd
0.599 0.682 0.772 Nd
0.259 0.115 0.504 Nd
0.759 0.504 0.115 Nd
0.259 0.496 0.885 Nd
0.599 0.228 0.318 Nd
0.099 0.318 0.228 Nd
0.754 0.031 0.969 Nd
0.254 0.969 0.031 Nd
0.717 0.300 0.700 Nd
0.759 0.885 0.496 Nd
0.099 0.772 0.682 Nd
```

# Nd6Tl5Bi

A relaxed Nd6Tl5Bi crystal (PBE, the Alexandria database).

symmetry = Immm, No. 71
calculated volume = 358.7 Å³ per cell
total magnetic moment = 0.00 μB per atom
E_form = -5.33 eV/f.u.
crystal system = orthorhombic

Cell and atoms, written as POSCAR:
```
Nd6Tl5Bi
1.0
-0.959 3.026 4.161
-8.259 -1.652 -3.994
4.142 -7.690 3.255
Tl Bi Nd
5 1 6
direct
0.000 0.334 0.666 Tl
0.500 0.500 0.500 Tl
0.000 0.666 0.334 Tl
0.500 0.174 0.826 Tl
0.500 0.826 0.174 Tl
0.000 0.000 0.000 Bi
0.249 0.415 0.083 Nd
0.249 0.749 0.749 Nd
0.249 0.083 0.415 Nd
0.751 0.251 0.251 Nd
0.751 0.917 0.585 Nd
0.751 0.585 0.917 Nd
```

# NdTlBi

A relaxed NdTlBi crystal (PBE, the Alexandria database).

symmetry = P-3m1, No. 164
calculated volume = 201.0 Å³ per cell
polymorph energy (0 for the lowest one) = 75 meV per atom
total magnetic moment = 0.00 μB per atom
E_form = -0.75 eV/f.u.
crystal system = trigonal

Cell and atoms, written as POSCAR:
```
NdTlBi
1.0
-1.942 -0.258 -4.827
4.467 -2.425 1.143
-4.365 -7.037 2.132
Bi Nd Tl
2 2 2
direct
0.667 0.333 0.632 Bi
0.333 0.667 0.368 Bi
0.000 0.000 0.756 Nd
0.000 0.000 0.244 Nd
0.667 0.333 0.058 Tl
0.333 0.667 0.942 Tl
```

# Nd12Tl6Bi

A relaxed Nd12Tl6Bi crystal (PBE, the Alexandria database).

symmetry = R-3, No. 148
calculated volume = 626.4 Å³ per cell
total magnetic moment = 0.00 μB per atom
E_form = -2.72 eV/f.u.
crystal system = trigonal

Cell and atoms, written as POSCAR:
```
Nd12Tl6Bi
1.0
-8.764 2.649 -0.314
0.840 -7.505 -5.186
1.904 -2.349 8.648
Nd Tl Bi
12 6 1
direct
0.030 0.877 0.344 Nd
0.970 0.123 0.656 Nd
0.123 0.656 0.970 Nd
0.601 0.927 0.683 Nd
0.683 0.601 0.927 Nd
0.399 0.073 0.317 Nd
0.877 0.344 0.030 Nd
0.927 0.683 0.601 Nd
0.344 0.030 0.877 Nd
0.317 0.399 0.073 Nd
0.073 0.317 0.399 Nd
0.656 0.970 0.123 Nd
0.336 0.644 0.751 Tl
0.249 0.664 0.356 Tl
0.644 0.751 0.336 Tl
0.751 0.336 0.644 Tl
0.356 0.249 0.664 Tl
0.664 0.356 0.249 Tl
0.000 0.000 0.000 Bi
```